The following is a DFT calculation (PBE) of a relaxed Re2SnPbO8 crystal.

Summary:
**Density of states at the Fermi level**: 1.20 states/eV/f.u.
**DFT total energy**: -7.37 eV per atom
**Mass density**: 6.27 g/cm³
**ΔE_f (raw)**: -1.344 eV/atom

Unit cell a=6.429 b=6.790 c=8.397 alpha=42.78 beta=67.49 gamma=61.75
Sites, in units of the cell vectors:
1 O 0.796 0.053 0.747
2 O 0.655 0.495 0.196
3 O 0.404 0.053 0.747
4 O 0.596 0.947 0.253
5 O 0.170 0.434 0.226
6 O 0.204 0.947 0.253
7 O 0.830 0.566 0.774
8 O 0.345 0.505 0.804
9 Re 0.686 0.741 0.887
10 Re 0.314 0.259 0.113
11 Pb 0.000 0.000 0.000
12 Sn 0.500 0.500 0.500